Record 1
Below is a geometry-optimized Dy2MoN4 structure, with properties calculated at the GGA-PBE level.

Results
- relative energy among the computed polymorphs (eV/atom) = 0.000
- calculated volume (Å³ per cell) = 210.32
- DFT total energy (eV per atom) = -8.77

```
data_Dy2MoN4
_chemical_formula_sum 'Dy4 Mo2 N8'
_space_group_name_H-M_alt 'P 1'
_space_group_IT_number 1
_space_group_name_Hall 'P 1'
_cell_length_a 6.1299
_cell_length_b 6.1299
_cell_length_c 7.0125
_cell_angle_alpha 104.40
_cell_angle_beta 104.40
_cell_angle_gamma 115.54
loop_
_atom_site_label
_atom_site_type_symbol
_atom_site_fract_x
_atom_site_fract_y
_atom_site_fract_z
Dy1 Dy 0.4315 0.5685 0.7500
Dy2 Dy 0.1816 0.8184 0.2500
Dy3 Dy 0.8184 0.1816 0.7500
Dy4 Dy 0.5685 0.4315 0.2500
N1 N 0.7688 0.7558 0.5989
N2 N 0.7558 0.7688 0.0989
N3 N 0.2312 0.2442 0.4011
N4 N 0.8433 0.3301 0.0990
N5 N 0.3301 0.8433 0.5990
N6 N 0.1567 0.6699 0.9010
N7 N 0.6699 0.1567 0.4010
N8 N 0.2442 0.2312 0.9011
Mo1 Mo 0.1250 0.8750 0.7500
Mo2 Mo 0.8750 0.1250 0.2500
```

=====

Record 2
Below is a geometry-optimized Dy2MoN4 structure, with properties calculated at the GGA-PBE level.

Results
- relative energy among the computed polymorphs (eV/atom) = 0.097
- calculated volume (Å³ per cell) = 214.05
- DFT total energy (eV per atom) = -8.67

```
data_Dy2MoN4
_chemical_formula_sum 'Dy4 Mo2 N8'
_space_group_name_H-M_alt 'P 1'
_space_group_IT_number 1
_space_group_name_Hall 'P 1'
_cell_length_a 5.7771
_cell_length_b 5.9276
_cell_length_c 6.5638
_cell_angle_alpha 90.00
_cell_angle_beta 107.77
_cell_angle_gamma 90.00
loop_
_atom_site_label
_atom_site_type_symbol
_atom_site_fract_x
_atom_site_fract_y
_atom_site_fract_z
Dy1 Dy 0.2554 0.2500 0.4431
Dy2 Dy 0.6685 0.7500 0.0267
Dy3 Dy 0.7446 0.7500 0.5569
Dy4 Dy 0.3315 0.2500 0.9733
N1 N 0.9707 0.2500 0.0915
N2 N 0.4515 0.5100 0.2493
N3 N 0.9945 0.2500 0.6518
N4 N 0.0055 0.7500 0.3482
N5 N 0.5485 0.0100 0.7507
N6 N 0.0293 0.7500 0.9085
N7 N 0.4515 0.9900 0.2493
N8 N 0.5485 0.4900 0.7507
Mo1 Mo 0.7817 0.2500 0.8119
Mo2 Mo 0.2183 0.7500 0.1881
```

=====

Record 3
Below is a geometry-optimized Dy2Mo3N5 structure, with properties calculated at the GGA-PBE level.

Results
- calculated volume (Å³ per cell) = 117.16
- DFT total energy (eV per atom) = -9.24

```
data_Dy2Mo3N5
_chemical_formula_sum 'Dy2 Mo3 N5'
_space_group_name_H-M_alt 'P 1'
_space_group_IT_number 1
_space_group_name_Hall 'P 1'
_cell_length_a 3.1185
_cell_length_b 5.9341
_cell_length_c 6.7984
_cell_angle_alpha 79.55
_cell_angle_beta 76.74
_cell_angle_gamma 74.77
loop_
_atom_site_label
_atom_site_type_symbol
_atom_site_fract_x
_atom_site_fract_y
_atom_site_fract_z
Mo1 Mo 0.1226 0.6408 0.1139
Mo2 Mo 0.8774 0.3592 0.8861
Mo3 Mo 0.5000 0.5000 0.5000
Dy1 Dy 0.3353 0.0668 0.2625
Dy2 Dy 0.6647 0.9332 0.7375
N1 N 0.2963 0.6150 0.7925
N2 N 0.0884 0.2325 0.5907
N3 N 0.7037 0.3850 0.2075
N4 N 0.0000 0.0000 0.0000
N5 N 0.9116 0.7675 0.4093
```

=====

Record 4
Below is a geometry-optimized NdDy2MoN4 structure, with properties calculated at the GGA-PBE level.

Results
- calculated volume (Å³ per cell) = 241.39
- DFT total energy (eV per atom) = -8.40

```
data_NdDy2MoN4
_chemical_formula_sum 'Nd2 Dy4 Mo2 N8'
_space_group_name_H-M_alt 'P 1'
_space_group_IT_number 1
_space_group_name_Hall 'P 1'
_cell_length_a 3.4403
_cell_length_b 6.1584
_cell_length_c 11.8657
_cell_angle_alpha 90.00
_cell_angle_beta 90.00
_cell_angle_gamma 106.22
loop_
_atom_site_label
_atom_site_type_symbol
_atom_site_fract_x
_atom_site_fract_y
_atom_site_fract_z
Mo1 Mo 0.8372 0.6745 0.7500
Mo2 Mo 0.1628 0.3255 0.2500
N1 N 0.0000 0.0000 0.5000
N2 N 0.0000 0.0000 0.0000
N3 N 0.2632 0.5264 0.3774
N4 N 0.7368 0.4736 0.8774
N5 N 0.7368 0.4736 0.6226
N6 N 0.5613 0.1226 0.2500
N7 N 0.4387 0.8774 0.7500
N8 N 0.2632 0.5264 0.1226
Dy1 Dy 0.3700 0.7401 0.5394
Dy2 Dy 0.6300 0.2599 0.0394
Dy3 Dy 0.3700 0.7401 0.9606
Dy4 Dy 0.6300 0.2599 0.4606
Nd1 Nd 0.9037 0.8075 0.2500
Nd2 Nd 0.0963 0.1925 0.7500
```

=====

Record 5
Below is a geometry-optimized NdDyMoN3 structure, with properties calculated at the GGA-PBE level.

Results
- calculated volume (Å³ per cell) = 191.76
- DFT total energy (eV per atom) = -8.57

```
data_NdDyMoN3
_chemical_formula_sum 'Nd2 Dy2 Mo2 N6'
_space_group_name_H-M_alt 'P 1'
_space_group_IT_number 1
_space_group_name_Hall 'P 1'
_cell_length_a 3.5254
_cell_length_b 9.0664
_cell_length_c 6.1635
_cell_angle_alpha 103.24
_cell_angle_beta 90.00
_cell_angle_gamma 90.00
loop_
_atom_site_label
_atom_site_type_symbol
_atom_site_fract_x
_atom_site_fract_y
_atom_site_fract_z
N1 N 0.7500 0.4871 0.2450
N2 N 0.2500 0.1978 0.9427
N3 N 0.2500 0.5129 0.7550
N4 N 0.2500 0.8412 0.4807
N5 N 0.7500 0.1588 0.5193
N6 N 0.7500 0.8022 0.0573
Mo1 Mo 0.2500 0.0755 0.6520
Mo2 Mo 0.7500 0.9245 0.3480
Nd1 Nd 0.7500 0.6836 0.6508
Nd2 Nd 0.2500 0.3164 0.3492
Dy1 Dy 0.2500 0.6471 0.1363
Dy2 Dy 0.7500 0.3529 0.8637
```

=====

Record 6
Below is a geometry-optimized DyPaMo2N6 structure, with properties calculated at the GGA-PBE level.

Results
- calculated volume (Å³ per cell) = 287.98
- DFT total energy (eV per atom) = -9.48

```
data_DyPaMo2N6
_chemical_formula_sum 'Dy2 Pa2 Mo4 N12'
_space_group_name_H-M_alt 'P 1'
_space_group_IT_number 1
_space_group_name_Hall 'P 1'
_cell_length_a 6.0030
_cell_length_b 7.1048
_cell_length_c 7.1048
_cell_angle_alpha 82.63
_cell_angle_beta 77.60
_cell_angle_gamma 77.60
loop_
_atom_site_label
_atom_site_type_symbol
_atom_site_fract_x
_atom_site_fract_y
_atom_site_fract_z
N1 N 0.4846 0.5987 0.6697
N2 N 0.1068 0.6351 0.1238
N3 N 0.9846 0.6697 0.5987
N4 N 0.6498 0.7685 0.0051
N5 N 0.5154 0.4013 0.3303
N6 N 0.6068 0.1238 0.6351
N7 N 0.1498 0.0051 0.7685
N8 N 0.0154 0.3303 0.4013
N9 N 0.3932 0.8762 0.3649
N10 N 0.8502 0.9949 0.2315
N11 N 0.3502 0.2315 0.9949
N12 N 0.8932 0.3649 0.8762
Pa1 Pa 0.2500 0.3174 0.6826
Pa2 Pa 0.7500 0.6826 0.3174
Dy1 Dy 0.7500 0.0868 0.9132
Dy2 Dy 0.2500 0.9132 0.0868
Mo1 Mo 0.2345 0.8017 0.6062
Mo2 Mo 0.2655 0.3938 0.1983
Mo3 Mo 0.7345 0.6062 0.8017
Mo4 Mo 0.7655 0.1983 0.3938
```

=====

Record 7
Below is a geometry-optimized PmDy2MoN4 structure, with properties calculated at the GGA-PBE level.

Results
- calculated volume (Å³ per cell) = 239.08
- DFT total energy (eV per atom) = -8.40

```
data_PmDy2MoN4
_chemical_formula_sum 'Pm2 Dy4 Mo2 N8'
_space_group_name_H-M_alt 'P 1'
_space_group_IT_number 1
_space_group_name_Hall 'P 1'
_cell_length_a 3.4287
_cell_length_b 6.1313
_cell_length_c 11.8450
_cell_angle_alpha 90.00
_cell_angle_beta 90.00
_cell_angle_gamma 106.24
loop_
_atom_site_label
_atom_site_type_symbol
_atom_site_fract_x
_atom_site_fract_y
_atom_site_fract_z
N1 N 0.7365 0.4729 0.6238
N2 N 0.2635 0.5271 0.3762
N3 N 0.0000 0.0000 0.5000
N4 N 0.4428 0.8857 0.7500
N5 N 0.7365 0.4729 0.8762
N6 N 0.0000 0.0000 0.0000
N7 N 0.5572 0.1143 0.2500
N8 N 0.2635 0.5271 0.1238
Dy1 Dy 0.6302 0.2603 0.0392
Dy2 Dy 0.6302 0.2603 0.4608
Dy3 Dy 0.3698 0.7397 0.9608
Dy4 Dy 0.3698 0.7397 0.5392
Pm1 Pm 0.9004 0.8009 0.2500
Pm2 Pm 0.0996 0.1991 0.7500
Mo1 Mo 0.8400 0.6801 0.7500
Mo2 Mo 0.1600 0.3199 0.2500
```

=====

Record 8
Below is a geometry-optimized PmDyMoN3 structure, with properties calculated at the GGA-PBE level.

Results
- calculated volume (Å³ per cell) = 189.07
- DFT total energy (eV per atom) = -8.58

```
data_PmDyMoN3
_chemical_formula_sum 'Pm2 Dy2 Mo2 N6'
_space_group_name_H-M_alt 'P 1'
_space_group_IT_number 1
_space_group_name_Hall 'P 1'
_cell_length_a 3.5138
_cell_length_b 9.0263
_cell_length_c 6.1153
_cell_angle_alpha 102.88
_cell_angle_beta 90.00
_cell_angle_gamma 90.00
loop_
_atom_site_label
_atom_site_type_symbol
_atom_site_fract_x
_atom_site_fract_y
_atom_site_fract_z
Pm1 Pm 0.7500 0.6822 0.6485
Pm2 Pm 0.2500 0.3178 0.3515
Dy1 Dy 0.2500 0.6475 0.1351
Dy2 Dy 0.7500 0.3525 0.8649
N1 N 0.7500 0.1597 0.5184
N2 N 0.2500 0.1972 0.9462
N3 N 0.2500 0.5131 0.7525
N4 N 0.7500 0.8028 0.0538
N5 N 0.7500 0.4869 0.2475
N6 N 0.2500 0.8403 0.4816
Mo1 Mo 0.7500 0.9251 0.3466
Mo2 Mo 0.2500 0.0749 0.6534
```

=====

In order of appearance, formation energy without anion corrections = -8.052, -7.369, -9.062, -9.085, -6.220, -9.121, -9.097, -6.325 eV per formula unit.